1.
! FeHg6Pd12, relaxed, DFT PBE-GGA; values from VASP
&SYSTEM
  ibrav = 0, nat = 19, ntyp = 3
/
ATOMIC_SPECIES
Hg 200.59 Hg.upf
Pd 106.42 Pd.upf
Fe 55.84 Fe.upf
ATOMIC_POSITIONS crystal
Hg 0.168 0.434 0.169
Pd 0.750 0.000 0.250
Pd 0.000 0.250 0.750
Fe 0.000 0.000 0.000
Pd 0.750 0.250 0.000
Pd 0.250 0.000 0.750
Pd 0.591 0.592 0.184
Pd 0.408 0.816 0.409
Pd 0.184 0.591 0.592
Pd 0.250 0.750 0.000
Pd 0.000 0.750 0.250
Hg 0.831 0.832 0.566
Pd 0.816 0.409 0.408
Hg 0.434 0.169 0.168
Pd 0.592 0.184 0.591
Pd 0.409 0.408 0.816
Hg 0.832 0.566 0.831
Hg 0.566 0.831 0.832
Hg 0.169 0.168 0.434
CELL_PARAMETERS angstrom
7.126 -0.204 -0.244
-1.282 7.013 -0.244
-1.282 -1.493 6.856
! **VASP energy**: -72.4 eV per cell
! **Density of states at the Fermi level**: 13.61 states/eV/f.u.
! **Magnetization**: 3.7 μB/f.u.
! **ΔH_f (0 K)**: 0.011 eV per atom
! **Space-group type**: R-3m

***

2.
! Ti12Al3Pt, relaxed, DFT PBE-GGA; values from VASP
&SYSTEM
  ibrav = 0, nat = 16, ntyp = 3
/
ATOMIC_SPECIES
Ti 47.87 Ti.upf
Al 26.98 Al.upf
Pt 195.08 Pt.upf
ATOMIC_POSITIONS crystal
Ti 0.000 0.500 0.126
Ti 0.500 0.000 0.376
Ti 0.500 0.500 0.500
Ti 0.000 0.500 0.376
Al 0.000 0.000 0.249
Ti 0.000 0.500 0.874
Pt 0.000 0.000 0.000
Ti 0.500 0.000 0.624
Al 0.000 0.000 0.500
Ti 0.500 0.000 0.874
Ti 0.500 0.000 0.126
Al 0.000 0.000 0.751
Ti 0.000 0.500 0.624
Ti 0.500 0.500 0.249
Ti 0.500 0.500 0.751
Ti 0.500 0.500 0.000
CELL_PARAMETERS angstrom
4.011 0.000 0.000
0.000 4.011 0.000
0.000 0.000 16.360
! **VASP energy**: -117.1 eV per cell
! **Density of states at the Fermi level**: 19.19 states/eV/f.u.
! **Magnetization**: 0.0 μB/f.u.
! **ΔH_f (0 K)**: -0.318 eV per atom
! **Space-group type**: P4/mmm